(1)
The following is a GGA-PBE calculation of crystalline Ac4Te7Pb at its relaxed geometry, from the Alexandria database.

Computed properties:
- calculated volume (A^3/atom) = 39.96
- E_form (uncorrected) (eV per atom) = -1.36

Cell lengths 15.481, 4.631, 13.867 Å; angles 90.00, 105.28, 90.00 degrees
Space group Cm (No. 8)
Symmetry-distinct sites (fractional):
Ac 0.000 0.000 0.000 [2 per cell]
Ac 0.094 0.500 0.379 [2 per cell]
Ac 0.205 0.000 0.776 [2 per cell]
Ac 0.398 0.500 0.562 [2 per cell]
Te 0.059 0.500 0.622 [2 per cell]
Te 0.122 0.500 0.920 [2 per cell]
Te 0.150 0.000 0.221 [2 per cell]
Te 0.237 0.000 0.525 [2 per cell]
Te 0.356 0.500 0.780 [2 per cell]
Te 0.357 0.000 0.030 [2 per cell]
Te 0.435 0.500 0.342 [2 per cell]
Pb 0.268 0.500 0.141 [2 per cell]

---

(2)
The following is a GGA-PBE calculation of crystalline AcTe2Pb at its relaxed geometry, from the Alexandria database.

Computed properties:
- calculated volume (A^3/atom) = 33.10
- E_form (uncorrected) (eV per atom) = -0.87

Cell lengths 4.130, 4.130, 7.761 Å; angles 90.00, 90.00, 90.00 degrees
Space group P4/mmm (No. 123)
Symmetry-distinct sites (fractional):
Ac 0.000 0.000 0.000 [1 per cell]
Te 0.500 0.500 0.244 [2 per cell]
Pb 0.000 0.000 0.500 [1 per cell]

---

(3)
The following is a GGA-PBE calculation of crystalline AcTePb at its relaxed geometry, from the Alexandria database.

Computed properties:
- calculated volume (A^3/atom) = 34.52
- E_form (uncorrected) (eV per atom) = -0.59

Cell lengths 5.4700, 5.4700, 3.9970 Å; angles 90.00, 90.00, 120.00 degrees
Space group P3m1 (No. 156)
Symmetry-distinct sites (fractional):
Ac 0.0000 0.0000 0.0000 [1 per cell]
Te 0.3333 0.6667 0.5032 [1 per cell]
Pb 0.6667 0.3333 0.4989 [1 per cell]